First-principles (PBE) data for a relaxed structure of Rb5AuO, as listed in Alexandria via LeMat-Bulk.

```
data_Rb5AuO
_chemical_formula_sum 'Rb20 Au4 O4'
_cell_length_a 14.0549
_cell_length_b 9.5520
_cell_length_c 11.4440
_cell_angle_alpha 90.00
_cell_angle_beta 114.32
_cell_angle_gamma 90.00
_symmetry_space_group_name_H-M 'C 1 2/c 1'
_symmetry_Int_Tables_number 15
loop_
_symmetry_equiv_pos_as_xyz
'x,y,z'
'-x,-y,-z'
'-x,y,-z+1/2'
'x,-y,z+1/2'
'x+1/2,y+1/2,z'
'-x+1/2,-y+1/2,-z'
'-x+1/2,y+1/2,-z+1/2'
'x+1/2,-y+1/2,z+1/2'
loop_
_atom_site_label
_atom_site_fract_x
_atom_site_fract_y
_atom_site_fract_z
Rb1 0.0000 0.0616 0.2500
Rb2 0.0211 0.2835 0.9728
Rb3 0.2186 0.0278 0.6146
Au1 0.0000 0.4347 0.2500
O1 0.0000 0.0000 0.0000
```

## Properties
As for the magnetic moment: 0.0 μB per formula unit. The crystal system is monoclinic. The raw formation energy comes out at -48 kJ/mol of atoms.